AsRuCl2: relaxed, PBE.

Computed properties:
Polymorph energy (0 for the lowest one)   425 meV per atom
E_form (uncorrected)   100 meV per atom
Final energy   -34.436 eV/cell

Cell: 3.0799 4.5426 11.4001 Å, 90.00 90.00 90.00°
Last column: nearest neighbours and their distance in Å.
Space group Imm2 (No. 44)
Inequivalent atoms, fractional coordinates:
As1 0.0000 0.0000 0.0000 (multiplicity 2)  2 Ru 2.40
Ru1 0.0000 0.5000 0.6620 (multiplicity 2)  2 As 2.40
Cl1 0.0000 0.0000 0.3573 (multiplicity 2)  2 Ru 2.71
Cl2 0.0000 0.5000 0.1567 (multiplicity 2)  4 Ru 2.74, 2 As 2.89



SrZnIn2Mo: relaxed, PBE.

Computed properties:
E_form   0.142 eV per atom
Final energy   -18.555 eV/cell

Cell: 5.2505 5.2505 5.0186 Å, 90.00 90.00 90.00°
Last column: nearest neighbours and their distance in Å.
Space group P4/mmm (No. 123)
Inequivalent atoms, fractional coordinates:
Sr1 0.0000 0.0000 0.0000 (multiplicity 1)  8 In 3.63, 4 Zn 3.71
Zn1 0.5000 0.5000 0.0000 (multiplicity 1)  2 Mo 2.51
In1 0.0000 0.5000 0.5000 (multiplicity 2)  2 Mo 2.63
Mo1 0.5000 0.5000 0.5000 (multiplicity 1)  2 Zn 2.51, 4 In 2.63



Question: What is the final energy in the first record?
Answer: -34.436 eV/cell



Question: Which of these has the lowest final energy?
Answer: AsRuCl2



Question: final energy of number 2 (SrZnIn2Mo)?
Answer: -18.555 eV/cell



Question: Among the records above, which one has the highest final energy?
Answer: SrZnIn2Mo